Entry 1:
# Tb3YO6 (PBE, relaxed)
# Uncorrected formation energy = -3.54 eV per atom
# Raw total energy = -8.5513 eV/atom
data_Tb3YO6
_space_group_name_H-M_alt 'R -3'
_space_group_IT_number 148
_space_group_name_Hall '-R 3'
_cell_length_a 9.7029
_cell_length_b 9.7029
_cell_length_c 11.4052
_cell_angle_alpha 90.00
_cell_angle_beta 90.00
_cell_angle_gamma 120.00
loop_
_atom_site_label
_atom_site_type_symbol
_atom_site_fract_x
_atom_site_fract_y
_atom_site_fract_z
Tb1 Tb 0.0388 0.7733 0.2098
Y1 Y 0.0000 0.0000 0.0000
Y2 Y 0.0000 0.0000 0.5000
O1 O 0.0263 0.8078 0.4032
O2 O 0.0281 0.8406 0.8702

Entry 2:
# TbYO2 (PBE, relaxed)
# Uncorrected formation energy = -2.70 eV per atom
# Raw total energy = -7.9542 eV/atom
data_TbYO2
_space_group_name_H-M_alt 'R 3 m'
_space_group_IT_number 160
_space_group_name_Hall 'R 3 -2"'
_cell_length_a 3.3916
_cell_length_b 3.3916
_cell_length_c 17.6015
_cell_angle_alpha 90.00
_cell_angle_beta 90.00
_cell_angle_gamma 120.00
loop_
_atom_site_label
_atom_site_type_symbol
_atom_site_fract_x
_atom_site_fract_y
_atom_site_fract_z
Tb1 Tb 0.0000 0.0000 0.0000
Y1 Y 0.0000 0.0000 0.8219
O1 O 0.0000 0.0000 0.4061
O2 O 0.0000 0.0000 0.5804

Entry 3:
# Tb3YO (PBE, relaxed)
# Uncorrected formation energy = -1.11 eV per atom
# Raw total energy = -6.1707 eV/atom
data_Tb3YO
_space_group_name_H-M_alt 'P m -3 m'
_space_group_IT_number 221
_space_group_name_Hall '-P 4 2 3'
_cell_length_a 4.962
_cell_length_b 4.962
_cell_length_c 4.962
_cell_angle_alpha 90.00
_cell_angle_beta 90.00
_cell_angle_gamma 90.00
loop_
_atom_site_label
_atom_site_type_symbol
_atom_site_fract_x
_atom_site_fract_y
_atom_site_fract_z
Tb1 Tb 0.000 0.000 0.500
Y1 Y 0.500 0.500 0.500
O1 O 0.000 0.000 0.000

Entry 4:
# TbY3O6 (PBE, relaxed)
# Uncorrected formation energy = -3.52 eV per atom
# Raw total energy = -8.9009 eV/atom
# Relative energy among the computed polymorphs = 0.0000 eV per atom
data_TbY3O6
_space_group_name_H-M_alt 'R -3'
_space_group_IT_number 148
_space_group_name_Hall '-R 3'
_cell_length_a 9.6843
_cell_length_b 9.6843
_cell_length_c 11.4089
_cell_angle_alpha 90.00
_cell_angle_beta 90.00
_cell_angle_gamma 120.00
loop_
_atom_site_label
_atom_site_type_symbol
_atom_site_fract_x
_atom_site_fract_y
_atom_site_fract_z
Tb1 Tb 0.0000 0.0000 0.0000
Tb2 Tb 0.0000 0.0000 0.5000
Y1 Y 0.0387 0.2655 0.2100
O1 O 0.0262 0.2191 0.4027
O2 O 0.0279 0.1880 0.8696

Entry 5:
# TbYO3 (PBE, relaxed)
# Uncorrected formation energy = -3.35 eV per atom
# Raw total energy = -8.5449 eV/atom
data_TbYO3
_space_group_name_H-M_alt 'P -6 m 2'
_space_group_IT_number 187
_space_group_name_Hall 'P -6 2'
_cell_length_a 5.9889
_cell_length_b 5.9889
_cell_length_c 3.0710
_cell_angle_alpha 90.00
_cell_angle_beta 90.00
_cell_angle_gamma 120.00
loop_
_atom_site_label
_atom_site_type_symbol
_atom_site_fract_x
_atom_site_fract_y
_atom_site_fract_z
Tb1 Tb 0.0000 0.0000 0.0000
Y1 Y 0.3333 0.6667 0.0000
O1 O 0.1670 0.3341 0.5000

Entry 6:
# Tb2Y2O5 (PBE, relaxed)
# Uncorrected formation energy = -2.87 eV per atom
# Raw total energy = -8.0918 eV/atom
data_Tb2Y2O5
_space_group_name_H-M_alt 'P 4/m m m'
_space_group_IT_number 123
_space_group_name_Hall '-P 4 2'
_cell_length_a 3.900
_cell_length_b 3.900
_cell_length_c 9.919
_cell_angle_alpha 90.00
_cell_angle_beta 90.00
_cell_angle_gamma 90.00
loop_
_atom_site_label
_atom_site_type_symbol
_atom_site_fract_x
_atom_site_fract_y
_atom_site_fract_z
Tb1 Tb 0.000 0.000 0.237
Y1 Y 0.500 0.500 0.000
Y2 Y 0.500 0.500 0.500
O1 O 0.000 0.000 0.500
O2 O 0.000 0.500 0.140